VASP calculation (PBE) on crystalline ErGa2Sn at its relaxed geometry.

Cell and atoms, written as POSCAR:
```
ErGa2Sn
1.0
4.4517 0.0000 0.0000
0.0000 4.4517 0.0000
0.0000 0.0000 4.3065
Er Ga Sn
1 2 1
direct
0.0000 0.0000 0.0000
0.0000 0.5000 0.5000
0.5000 0.0000 0.5000
0.5000 0.5000 0.0000
```

Computed properties:
The formation energy is -0.4648 eV/atom. Its energy above the most stable polymorph in this dataset is 0 meV per atom. As for the total magnetization: 0.000 μB/cell.

=====

VASP calculation (PBE) on crystalline ErGaSn at its relaxed geometry.

Cell and atoms, written as POSCAR:
```
ErGaSn
1.0
3.6194 0.0000 0.0000
0.0000 3.6194 0.0000
0.0000 0.0000 10.8110
Er Ga Sn
2 2 2
direct
0.0000 0.0000 0.0000
0.5000 0.5000 0.5000
0.0000 0.0000 0.3292
0.5000 0.5000 0.8292
0.0000 0.0000 0.6929
0.5000 0.5000 0.1929
```

Computed properties:
The formation energy is -0.3436 eV/atom. As for the total magnetization: 0.003 μB/cell.

=====

VASP calculation (PBE) on crystalline Er4GaSn2 at its relaxed geometry.

Cell and atoms, written as POSCAR:
```
Er4GaSn2
1.0
11.2993 0.0000 0.0000
0.0000 4.6580 0.0000
-4.9602 0.0000 7.1963
Er Ga Sn
8 2 4
direct
0.0802 0.0000 0.3773
0.1712 0.5000 0.0557
0.3288 0.0000 0.9443
0.4198 0.5000 0.6227
0.5802 0.5000 0.3773
0.6712 0.0000 0.0557
0.8288 0.5000 0.9443
0.9198 0.0000 0.6227
0.0000 0.0000 0.0000
0.5000 0.5000 0.0000
0.1563 0.5000 0.6683
0.3437 0.0000 0.3317
0.6563 0.0000 0.6683
0.8437 0.5000 0.3317
```

Computed properties:
The formation energy is -0.5769 eV/atom. As for the total magnetization: 0.000 μB/cell.

=====

VASP calculation (PBE) on crystalline Er12Ga6Sn at its relaxed geometry.

Cell and atoms, written as POSCAR:
```
Er12Ga6Sn
1.0
-4.9848 4.9848 4.9848
4.9848 -4.9848 4.9848
4.9848 4.9848 -4.9848
Er Ga Sn
12 6 1
direct
0.1056 0.8116 0.2940
0.1884 0.2940 0.4824
0.1884 0.7060 0.8944
0.2940 0.1056 0.8116
0.2940 0.4824 0.1884
0.4824 0.1884 0.2940
0.5176 0.8116 0.7060
0.7060 0.5176 0.8116
0.7060 0.8944 0.1884
0.8116 0.2940 0.1056
0.8116 0.7060 0.5176
0.8944 0.1884 0.7060
0.1231 0.6231 0.5000
0.3769 0.5000 0.8769
0.5000 0.1231 0.6231
0.5000 0.8769 0.3769
0.6231 0.5000 0.1231
0.8769 0.3769 0.5000
0.0000 0.0000 0.0000
```

Computed properties:
The formation energy is -0.4083 eV/atom. As for the total magnetization: 0.000 μB/cell.